No. 1
# Ba2HoAg2Se4, relaxed, DFT PBE
# **Formation energy (no corrections)**: -11.68 eV/f.u.
# **Total magnetization**: 0.0 μB/f.u.
data_Ba2HoAg2Se4
_chemical_formula_sum 'Ba2 Ho1 Ag2 Se4'
_cell_length_a 4.1757
_cell_length_b 8.0052
_cell_length_c 8.4196
_cell_angle_alpha 113.39
_cell_angle_beta 104.36
_cell_angle_gamma 90.00
_space_group_name_H-M_alt 'P 1'
_space_group_IT_number 1
loop_
_space_group_symop_operation_xyz
'x,y,z'
loop_
_atom_site_label
_atom_site_type_symbol
_atom_site_fract_x
_atom_site_fract_y
_atom_site_fract_z
_atom_site_occupancy
Ba1 Ba 0.1365 0.5861 0.2730 1
Ba2 Ba 0.8635 0.4139 0.7270 1
Ag1 Ag 0.6873 0.0036 0.3746 1
Ag2 Ag 0.3127 0.9964 0.6254 1
Se1 Se 0.4855 0.2462 0.9711 1
Se2 Se 0.1892 0.2344 0.3784 1
Se3 Se 0.5145 0.7538 0.0289 1
Se4 Se 0.8108 0.7656 0.6216 1
Ho1 Ho 0.0000 0.0000 0.0000 1



No. 2
# BaHoAgSe3, relaxed, DFT PBE
# **Formation energy (no corrections)**: -9.26 eV/f.u.
# **Total magnetization**: 0.0 μB/f.u.
data_BaHoAgSe3
_chemical_formula_sum 'Ba2 Ho2 Ag2 Se6'
_cell_length_a 4.2615
_cell_length_b 8.6911
_cell_length_c 9.5750
_cell_angle_alpha 106.11
_cell_angle_beta 90.00
_cell_angle_gamma 90.00
_space_group_name_H-M_alt 'P 1'
_space_group_IT_number 1
loop_
_space_group_symop_operation_xyz
'x,y,z'
loop_
_atom_site_label
_atom_site_type_symbol
_atom_site_fract_x
_atom_site_fract_y
_atom_site_fract_z
_atom_site_occupancy
Ho1 Ho 0.2500 0.6782 0.1587 1
Ho2 Ho 0.7500 0.3218 0.8413 1
Ba1 Ba 0.2500 0.2068 0.2495 1
Ba2 Ba 0.7500 0.7932 0.7505 1
Se1 Se 0.7500 0.2532 0.5301 1
Se2 Se 0.7500 0.8938 0.1271 1
Se3 Se 0.2500 0.1062 0.8729 1
Se4 Se 0.2500 0.5497 0.8472 1
Se5 Se 0.7500 0.4503 0.1528 1
Se6 Se 0.2500 0.7468 0.4699 1
Ag1 Ag 0.2500 0.0878 0.5907 1
Ag2 Ag 0.7500 0.9122 0.4093 1



No. 3
# BaHoAg2Se4, relaxed, DFT PBE
# **Formation energy (no corrections)**: -8.39 eV/f.u.
# **Total magnetization**: 0.0 μB/f.u.
data_BaHoAg2Se4
_chemical_formula_sum 'Ba1 Ho1 Ag2 Se4'
_cell_length_a 7.1261
_cell_length_b 6.7048
_cell_length_c 6.7048
_cell_angle_alpha 68.22
_cell_angle_beta 57.90
_cell_angle_gamma 57.90
_space_group_name_H-M_alt 'P 1'
_space_group_IT_number 1
loop_
_space_group_symop_operation_xyz
'x,y,z'
loop_
_atom_site_label
_atom_site_type_symbol
_atom_site_fract_x
_atom_site_fract_y
_atom_site_fract_z
_atom_site_occupancy
Ba1 Ba 0.0000 0.0000 0.0000 1
Se1 Se 0.4760 0.0962 0.5231 1
Se2 Se 0.9047 0.5231 0.0962 1
Se3 Se 0.5240 0.4769 0.9038 1
Se4 Se 0.0953 0.9038 0.4769 1
Ag1 Ag 0.8127 0.6873 0.6873 1
Ag2 Ag 0.1873 0.3127 0.3127 1
Ho1 Ho 0.5000 0.5000 0.5000 1



No. 4
# BaHoAgSn, relaxed, DFT PBE
# **Energy of formation**: -0.36 eV per atom
# **Total magnetization**: 0.0 μB/f.u.
data_BaHoAgSn
_chemical_formula_sum 'Ba1 Ho1 Ag1 Sn1'
_cell_length_a 5.5725
_cell_length_b 5.5725
_cell_length_c 5.5725
_cell_angle_alpha 60.00
_cell_angle_beta 60.00
_cell_angle_gamma 60.00
_space_group_name_H-M_alt 'P 1'
_space_group_IT_number 1
loop_
_space_group_symop_operation_xyz
'x,y,z'
loop_
_atom_site_label
_atom_site_type_symbol
_atom_site_fract_x
_atom_site_fract_y
_atom_site_fract_z
_atom_site_occupancy
Ho1 Ho 0.5000 0.5000 0.5000 1
Sn1 Sn 0.2500 0.2500 0.2500 1
Ba1 Ba 0.0000 0.0000 0.0000 1
Ag1 Ag 0.7500 0.7500 0.7500 1



No. 5
# BaHoAg2Te4, relaxed, DFT PBE
# **Formation energy (no corrections)**: -6.27 eV/f.u.
# **Total magnetization**: 0.0 μB/f.u.
data_BaHoAg2Te4
_chemical_formula_sum 'Ba1 Ho1 Ag2 Te4'
_cell_length_a 7.5300
_cell_length_b 7.1150
_cell_length_c 7.1150
_cell_angle_alpha 69.07
_cell_angle_beta 58.05
_cell_angle_gamma 58.05
_space_group_name_H-M_alt 'P 1'
_space_group_IT_number 1
loop_
_space_group_symop_operation_xyz
'x,y,z'
loop_
_atom_site_label
_atom_site_type_symbol
_atom_site_fract_x
_atom_site_fract_y
_atom_site_fract_z
_atom_site_occupancy
Te1 Te 0.5232 0.4752 0.9111 1
Te2 Te 0.0904 0.9111 0.4752 1
Te3 Te 0.9096 0.5248 0.0889 1
Te4 Te 0.4768 0.0889 0.5248 1
Ag1 Ag 0.8286 0.6714 0.6714 1
Ag2 Ag 0.1714 0.3286 0.3286 1
Ho1 Ho 0.5000 0.5000 0.5000 1
Ba1 Ba 0.0000 0.0000 0.0000 1



No. 6
# BaHo2AgTe4, relaxed, DFT PBE
# **Formation energy (no corrections)**: -9.61 eV/f.u.
# **Total magnetization**: 0.0 μB/f.u.
data_BaHo2AgTe4
_chemical_formula_sum 'Ba2 Ho4 Ag2 Te8'
_cell_length_a 4.5256
_cell_length_b 7.7632
_cell_length_c 15.4849
_cell_angle_alpha 90.00
_cell_angle_beta 90.00
_cell_angle_gamma 106.95
_space_group_name_H-M_alt 'P 1'
_space_group_IT_number 1
loop_
_space_group_symop_operation_xyz
'x,y,z'
loop_
_atom_site_label
_atom_site_type_symbol
_atom_site_fract_x
_atom_site_fract_y
_atom_site_fract_z
_atom_site_occupancy
Te1 Te 0.7337 0.4674 0.8929 1
Te2 Te 0.0000 0.0000 0.5000 1
Te3 Te 0.4583 0.9166 0.7500 1
Te4 Te 0.2663 0.5326 0.1071 1
Te5 Te 0.5417 0.0834 0.2500 1
Te6 Te 0.2663 0.5326 0.3929 1
Te7 Te 0.0000 0.0000 0.0000 1
Te8 Te 0.7337 0.4674 0.6071 1
Ho1 Ho 0.6227 0.2454 0.0634 1
Ho2 Ho 0.3773 0.7546 0.9366 1
Ho3 Ho 0.3773 0.7546 0.5634 1
Ho4 Ho 0.6227 0.2454 0.4366 1
Ba1 Ba 0.8655 0.7309 0.2500 1
Ba2 Ba 0.1345 0.2691 0.7500 1
Ag1 Ag 0.1478 0.2957 0.2500 1
Ag2 Ag 0.8522 0.7043 0.7500 1



No. 7
# BaHoTlAg, relaxed, DFT PBE
# **Energy of formation**: -0.17 eV per atom
# **Total magnetization**: 0.0 μB/f.u.
data_BaHoTlAg
_chemical_formula_sum 'Ba1 Ho1 Tl1 Ag1'
_cell_length_a 5.5898
_cell_length_b 5.5898
_cell_length_c 5.5898
_cell_angle_alpha 60.00
_cell_angle_beta 60.00
_cell_angle_gamma 60.00
_space_group_name_H-M_alt 'P 1'
_space_group_IT_number 1
loop_
_space_group_symop_operation_xyz
'x,y,z'
loop_
_atom_site_label
_atom_site_type_symbol
_atom_site_fract_x
_atom_site_fract_y
_atom_site_fract_z
_atom_site_occupancy
Ag1 Ag 0.2500 0.2500 0.2500 1
Tl1 Tl 0.7500 0.7500 0.7500 1
Ho1 Ho 0.0000 0.0000 0.0000 1
Ba1 Ba 0.5000 0.5000 0.5000 1



No. 8
# Ba4AgI5, relaxed, DFT PBE
# **Formation energy (no corrections)**: -13.35 eV/f.u.
# **Total magnetization**: 1.9 μB/f.u.
data_Ba4AgI5
_chemical_formula_sum 'Ba4 Ag1 I5'
_cell_length_a 5.0300
_cell_length_b 9.7136
_cell_length_c 12.5398
_cell_angle_alpha 119.86
_cell_angle_beta 101.57
_cell_angle_gamma 90.00
_space_group_name_H-M_alt 'P 1'
_space_group_IT_number 1
loop_
_space_group_symop_operation_xyz
'x,y,z'
loop_
_atom_site_label
_atom_site_type_symbol
_atom_site_fract_x
_atom_site_fract_y
_atom_site_fract_z
_atom_site_occupancy
Ag1 Ag 0.5000 0.0000 0.0000 1
Ba1 Ba 0.6695 0.2088 0.3389 1
Ba2 Ba 0.3305 0.7912 0.6611 1
Ba3 Ba 0.0003 0.2353 0.0006 1
Ba4 Ba 0.9997 0.7647 0.9994 1
I1 I 0.8344 0.0401 0.6688 1
I2 I 0.5000 0.5000 0.0000 1
I3 I 0.1656 0.9599 0.3312 1
I4 I 0.8309 0.5321 0.6618 1
I5 I 0.1691 0.4679 0.3382 1



No. 9
# Ba3AgI, relaxed, DFT PBE
# **Offset from the most stable computed form**: 209 meV/atom
# **Formation energy (no corrections)**: -1.76 eV/f.u.
# **Total magnetization**: 0.0 μB/f.u.
data_Ba3AgI
_chemical_formula_sum 'Ba3 Ag1 I1'
_cell_length_a 6.5190
_cell_length_b 6.5190
_cell_length_c 6.5190
_cell_angle_alpha 90.00
_cell_angle_beta 90.00
_cell_angle_gamma 90.00
_space_group_name_H-M_alt 'P 1'
_space_group_IT_number 1
loop_
_space_group_symop_operation_xyz
'x,y,z'
loop_
_atom_site_label
_atom_site_type_symbol
_atom_site_fract_x
_atom_site_fract_y
_atom_site_fract_z
_atom_site_occupancy
Ba1 Ba 0.0000 0.5000 0.0000 1
Ba2 Ba 0.5000 0.0000 0.0000 1
Ba3 Ba 0.0000 0.0000 0.5000 1
I1 I 0.5000 0.5000 0.5000 1
Ag1 Ag 0.0000 0.0000 0.0000 1



No. 10
# Ba6Ag3I, relaxed, DFT PBE
# **Formation energy (no corrections)**: -3.71 eV/f.u.
# **Total magnetization**: 0.0 μB/f.u.
data_Ba6Ag3I
_chemical_formula_sum 'Ba12 Ag6 I2'
_cell_length_a 4.8693
_cell_length_b 14.3371
_cell_length_c 14.3484
_cell_angle_alpha 108.65
_cell_angle_beta 90.00
_cell_angle_gamma 90.00
_space_group_name_H-M_alt 'P 1'
_space_group_IT_number 1
loop_
_space_group_symop_operation_xyz
'x,y,z'
loop_
_atom_site_label
_atom_site_type_symbol
_atom_site_fract_x
_atom_site_fract_y
_atom_site_fract_z
_atom_site_occupancy
Ba1 Ba 0.7500 0.9392 0.1046 1
Ba2 Ba 0.7500 0.7443 0.7826 1
Ba3 Ba 0.2500 0.0608 0.8954 1
Ba4 Ba 0.7500 0.6981 0.2722 1
Ba5 Ba 0.7500 0.4638 0.5927 1
Ba6 Ba 0.2500 0.3019 0.7278 1
Ba7 Ba 0.7500 0.1402 0.4357 1
Ba8 Ba 0.2500 0.5362 0.4073 1
Ba9 Ba 0.2500 0.6203 0.9768 1
Ba10 Ba 0.7500 0.3797 0.0232 1
Ba11 Ba 0.2500 0.2557 0.2174 1
Ba12 Ba 0.2500 0.8598 0.5643 1
Ag1 Ag 0.7500 0.6881 0.5219 1
Ag2 Ag 0.2500 0.8448 0.9408 1
Ag3 Ag 0.7500 0.4806 0.8287 1
Ag4 Ag 0.7500 0.1552 0.0592 1
Ag5 Ag 0.2500 0.3119 0.4781 1
Ag6 Ag 0.2500 0.5194 0.1713 1
I1 I 0.2500 0.9317 0.3407 1
I2 I 0.7500 0.0683 0.6593 1



No. 11
# BaAgI3, relaxed, DFT PBE
# **Offset from the most stable computed form**: 551 meV/atom
# **Formation energy (no corrections)**: -2.96 eV/f.u.
# **Total magnetization**: 0.0 μB/f.u.
data_BaAgI3
_chemical_formula_sum 'Ba1 Ag1 I3'
_cell_length_a 6.7082
_cell_length_b 6.7082
_cell_length_c 6.7082
_cell_angle_alpha 90.00
_cell_angle_beta 90.00
_cell_angle_gamma 90.00
_space_group_name_H-M_alt 'P 1'
_space_group_IT_number 1
loop_
_space_group_symop_operation_xyz
'x,y,z'
loop_
_atom_site_label
_atom_site_type_symbol
_atom_site_fract_x
_atom_site_fract_y
_atom_site_fract_z
_atom_site_occupancy
I1 I 0.5000 0.0000 0.0000 1
I2 I 0.0000 0.0000 0.5000 1
I3 I 0.0000 0.5000 0.0000 1
Ba1 Ba 0.0000 0.0000 0.0000 1
Ag1 Ag 0.5000 0.5000 0.5000 1



Q: Which formula does entry 4 have?
A: BaHoAgSn